Entry 1:
Compound: Tb6PmDy3Th2
Source: Alexandria via LeMat-Bulk
Functional: PBE
Structure: optimized geometry

- energy relative to the elements (eV per atom) = 0.030

a = 6.192 Å, b = 10.712 Å, c = 11.800 Å
α = 90.00°, β = 100.08°, γ = 90.00°
Space group C2/m (No. 12)
Unique sites:
Tb: 0.246 0.000 0.249 x4
Tb: 0.248 0.169 0.751 x8
Pm: 0.000 0.500 0.000 x2
Dy: 0.000 0.000 0.500 x2
Dy: 0.000 0.334 0.500 x4
Th: 0.000 0.167 0.000 x4


Entry 2:
Compound: Mg2TaMoN4
Source: Alexandria via LeMat-Bulk
Functional: PBE
Structure: optimized geometry

- raw total energy (eV/cell) = -132.4

a = 4.288 Å, b = 4.288 Å, c = 8.825 Å
α = 90.00°, β = 90.00°, γ = 90.00°
Space group I-4m2 (No. 119)
Unique sites:
Mg: 0.000 0.000 0.000 x2
Mg: 0.000 0.500 0.250 x2
Ta: 0.000 0.500 0.750 x2
Mo: 0.000 0.000 0.500 x2
N: 0.000 0.000 0.246 x4
N: 0.000 0.500 0.000 x4


Entry 3:
Compound: Hg3AsPb12
Source: Alexandria via LeMat-Bulk
Functional: PBE
Structure: optimized geometry

- energy relative to the elements (eV per atom) = 0.037

a = 6.844 Å, b = 10.143 Å, c = 13.826 Å
α = 90.00°, β = 94.75°, γ = 90.00°
Space group C2/m (No. 12)
Unique sites:
Hg: 0.000 0.000 0.000 x2
Hg: 0.067 0.000 0.255 x4
As: 0.000 0.000 0.500 x2
Pb: 0.000 0.500 0.000 x2
Pb: 0.000 0.500 0.500 x2
Pb: 0.032 0.500 0.247 x4
Pb: 0.181 0.224 0.619 x8
Pb: 0.202 0.235 0.875 x8


Entry 4:
Compound: CaInHg2H
Source: Alexandria via LeMat-Bulk
Functional: PBE
Structure: optimized geometry

- raw total energy (eV/cell) = -9.6

a = 5.178 Å, b = 5.178 Å, c = 4.141 Å
α = 90.00°, β = 90.00°, γ = 90.00°
Space group P4/mmm (No. 123)
Unique sites:
Ca: 0.000 0.000 0.000 x1
In: 0.500 0.500 0.000 x1
Hg: 0.000 0.500 0.500 x2
H: 0.000 0.000 0.500 x1


Entry 5:
Compound: MgCdGa2I
Source: Alexandria via LeMat-Bulk
Functional: PBE
Structure: optimized geometry

- raw total energy (eV/cell) = -9.2

a = 5.379 Å, b = 5.379 Å, c = 5.482 Å
α = 90.00°, β = 90.00°, γ = 90.00°
Space group P4/mmm (No. 123)
Unique sites:
Mg: 0.000 0.000 0.000 x1
Cd: 0.000 0.000 0.500 x1
Ga: 0.000 0.500 0.000 x2
I: 0.500 0.500 0.500 x1


Entry 6:
Compound: CrReRh2
Source: Alexandria via LeMat-Bulk
Functional: PBE
Structure: optimized geometry

- energy above the lowest structure with this stoichiometry (kJ/mol of formula units) = 39
- energy relative to the elements (eV per atom) = -0.031

a = 8.878 Å, b = 2.687 Å, c = 4.720 Å
α = 90.00°, β = 100.67°, γ = 90.00°
Space group Cm (No. 8)
Unique sites:
Cr: 0.000 0.000 0.000 x2
Re: 0.256 0.000 0.725 x2
Rh: 0.003 0.500 0.494 x2
Rh: 0.244 0.500 0.210 x2


Entry 7:
Compound: TlICl6
Source: Alexandria via LeMat-Bulk
Functional: PBE
Structure: optimized geometry

- energy above the lowest structure with this stoichiometry (kJ/mol of formula units) = 15

a = 8.317 Å, b = 10.020 Å, c = 8.869 Å
α = 90.00°, β = 115.73°, γ = 90.00°
Space group C2/m (No. 12)
Unique sites:
Tl: 0.000 0.000 0.000 x2
I: 0.000 0.000 0.500 x2
Cl: 0.011 0.500 0.892 x4
Cl: 0.019 0.180 0.708 x8


Entry 8:
Compound: AlFePd2
Source: Alexandria via LeMat-Bulk
Functional: PBE
Structure: optimized geometry

- energy relative to the elements (eV per atom) = -0.466

a = 2.861 Å, b = 2.861 Å, c = 6.955 Å
α = 90.00°, β = 90.00°, γ = 90.00°
Space group P4/mmm (No. 123)
Unique sites:
Al: 0.000 0.000 0.000 x1
Fe: 0.000 0.000 0.500 x1
Pd: 0.500 0.500 0.238 x2


Entry 9:
Compound: K4Te3PbO12
Source: Alexandria via LeMat-Bulk
Functional: PBE
Structure: optimized geometry

- raw total energy (eV/cell) = -203.0

a = 8.315 Å, b = 8.315 Å, c = 8.315 Å
α = 90.00°, β = 90.00°, γ = 90.00°
Space group Im-3m (No. 229)
Unique sites:
K: 0.250 0.250 0.250 x8
Te: 0.000 0.000 0.500 x6
Pb: 0.000 0.000 0.000 x2
O: 0.000 0.000 0.274 x12
O: 0.000 0.250 0.500 x12


Entry 10:
Compound: Er3Bi2H
Source: Alexandria via LeMat-Bulk
Functional: PBE
Structure: optimized geometry

- raw total energy (eV/cell) = -110.9

a = 12.802 Å, b = 6.306 Å, c = 7.852 Å
α = 90.00°, β = 100.03°, γ = 90.00°
Space group C2/c (No. 15)
Unique sites:
Er: 0.000 0.142 0.250 x4
Er: 0.143 0.404 0.667 x8
Bi: 0.165 0.064 0.020 x8
H: 0.000 0.475 0.250 x4


Entry 11:
Compound: NbTeHPd
Source: Alexandria via LeMat-Bulk
Functional: PBE
Structure: optimized geometry

- energy above the lowest structure with this stoichiometry (kJ/mol of formula units) = 0

a = 3.4291 Å, b = 3.4291 Å, c = 6.6118 Å
α = 90.00°, β = 90.00°, γ = 120.00°
Space group P3m1 (No. 156)
Unique sites:
Nb: 0.0000 0.0000 0.0000 x1
Te: 0.3333 0.6667 0.7047 x1
H: 0.6667 0.3333 0.0739 x1
Pd: 0.3333 0.6667 0.2956 x1


Entry 12:
Compound: Ca3Pr2Nd2
Source: Alexandria via LeMat-Bulk
Functional: PBE
Structure: optimized geometry

- energy relative to the elements (eV per atom) = 0.050

a = 5.786 Å, b = 25.405 Å, c = 3.684 Å
α = 90.00°, β = 90.00°, γ = 90.00°
Space group Cmmm (No. 65)
Unique sites:
Ca: 0.000 0.000 0.000 x2
Ca: 0.000 0.424 0.500 x4
Pr: 0.000 0.283 0.500 x4
Nd: 0.000 0.156 0.000 x4


Entry 13:
Compound: Nd2PdAu
Source: Alexandria via LeMat-Bulk
Functional: PBE
Structure: optimized geometry

- energy relative to the elements (eV per atom) = -0.637

a = 3.898 Å, b = 7.826 Å, c = 7.339 Å
α = 90.00°, β = 90.00°, γ = 90.00°
Space group Imm2 (No. 44)
Unique sites:
Nd: 0.000 0.245 0.000 x4
Pd: 0.000 0.500 0.693 x2
Au: 0.000 0.500 0.306 x2


Entry 14:
Compound: TbNd3Y2
Source: Alexandria via LeMat-Bulk
Functional: PBE
Structure: optimized geometry

- energy above the lowest structure with this stoichiometry (kJ/mol of formula units) = 330
- energy relative to the elements (eV per atom) = 0.573

a = 11.259 Å, b = 12.276 Å, c = 6.798 Å
α = 90.00°, β = 90.00°, γ = 90.00°
Space group Ibam (No. 72)
Unique sites:
Tb: 0.000 0.000 0.000 x4
Nd: 0.000 0.235 0.250 x8
Nd: 0.000 0.500 0.250 x4
Y: 0.243 0.323 0.000 x8


Entry 15:
Compound: BaAc4Tb
Source: Alexandria via LeMat-Bulk
Functional: PBE
Structure: optimized geometry

- energy relative to the elements (eV per atom) = 0.298

a = 10.432 Å, b = 10.432 Å, c = 10.432 Å
α = 90.00°, β = 90.00°, γ = 90.00°
Space group F-43m (No. 216)
Unique sites:
Ba: 0.000 0.000 0.000 x4
Ac: 0.123 0.123 0.377 x16
Tb: 0.250 0.250 0.750 x4


Entry 16:
Compound: KSr2Te
Source: Alexandria via LeMat-Bulk
Functional: PBE
Structure: optimized geometry

- raw total energy (eV/cell) = -31.7

a = 4.5449 Å, b = 4.5449 Å, c = 34.9881 Å
α = 90.00°, β = 90.00°, γ = 120.00°
Space group R-3m (No. 166, hexagonal axes)
Unique sites:
K: 0.0000 0.0000 0.0000 x3
Sr: 0.0000 0.0000 0.2249 x6
Te: 0.0000 0.0000 0.5000 x3


Entry 17:
Compound: AlBiCl2
Source: Alexandria via LeMat-Bulk
Functional: PBE
Structure: optimized geometry

- energy above the lowest structure with this stoichiometry (kJ/mol of formula units) = 25

a = 3.4208 Å, b = 3.4208 Å, c = 28.8490 Å
α = 90.00°, β = 90.00°, γ = 120.00°
Space group R-3m (No. 166, hexagonal axes)
Unique sites:
Al: 0.0000 0.0000 0.0000 x3
Bi: 0.0000 0.0000 0.5000 x3
Cl: 0.0000 0.0000 0.0826 x6


Entry 18:
Compound: BaIn2Os
Source: Alexandria via LeMat-Bulk
Functional: PBE
Structure: optimized geometry

- energy relative to the elements (eV per atom) = 0.148

a = 4.7108 Å, b = 4.7108 Å, c = 18.2709 Å
α = 90.00°, β = 90.00°, γ = 120.00°
Space group R3m (No. 160, hexagonal axes)
Unique sites:
Ba: 0.0000 0.0000 0.0000 x3
In: 0.0000 0.0000 0.1990 x3
In: 0.0000 0.0000 0.4595 x3
Os: 0.0000 0.0000 0.8169 x3


Entry 19:
Compound: TaReMo
Source: Alexandria via LeMat-Bulk
Functional: PBE
Structure: optimized geometry

- energy above the lowest structure with this stoichiometry (kJ/mol of formula units) = 63
- energy relative to the elements (eV per atom) = -0.021

a = 5.499 Å, b = 4.451 Å, c = 8.043 Å
α = 90.00°, β = 90.00°, γ = 90.00°
Space group Pnma (No. 62)
Unique sites:
Ta: 0.236 0.250 0.250 x4
Re: 0.079 0.250 0.573 x4
Mo: 0.076 0.250 0.918 x4


Entry 20:
Compound: SrLa3Ir
Source: Alexandria via LeMat-Bulk
Functional: PBE
Structure: optimized geometry

- energy above the lowest structure with this stoichiometry (kJ/mol of formula units) = 7
- energy relative to the elements (eV per atom) = -0.308

a = 8.1567 Å, b = 8.1567 Å, c = 6.7261 Å
α = 90.00°, β = 90.00°, γ = 120.00°
Space group P6_3/mmc (No. 194)
Unique sites:
Sr: 0.3333 0.6667 0.2500 x2
La: 0.1646 0.3292 0.7500 x6
Ir: 0.0000 0.0000 0.0000 x2